[1]
# MnGaS2, single point on PBEsol structure, DFT meta-GGA SCAN
# M_tot: 4.1 μB/f.u.
# offset from the most stable computed form: 72 meV per atom
data_MnGaS2
_chemical_formula_sum 'Mn3 Ga3 S6'
_symmetry_space_group_name_H-M 'R -3 m'
_symmetry_Int_Tables_number 166
_symmetry_space_group_name_Hall '-R 3 2"'
_cell_length_a 3.5278
_cell_length_b 3.5278
_cell_length_c 21.4405
_cell_angle_alpha 90.00
_cell_angle_beta 90.00
_cell_angle_gamma 120.00
loop_
_atom_site_label
_atom_site_type_symbol
_atom_site_fract_x
_atom_site_fract_y
_atom_site_fract_z
_atom_site_occupancy
Mn1 Mn 0.0000 0.0000 0.0000 1
Ga1 Ga 0.0000 0.0000 0.5000 1
S1 S 0.0000 0.0000 0.1040 1

[2]
# AlP3Ir, single point on PBEsol structure, DFT meta-GGA SCAN
# M_tot: 0.0 μB/f.u.
# E_form: 1.285 eV/atom
data_AlP3Ir
_chemical_formula_sum 'Al1 P3 Ir1'
_symmetry_space_group_name_H-M 'P m -3 m'
_symmetry_Int_Tables_number 221
_symmetry_space_group_name_Hall '-P 4 2 3'
_cell_length_a 4.4150
_cell_length_b 4.4150
_cell_length_c 4.4150
_cell_angle_alpha 90.00
_cell_angle_beta 90.00
_cell_angle_gamma 90.00
loop_
_atom_site_label
_atom_site_type_symbol
_atom_site_fract_x
_atom_site_fract_y
_atom_site_fract_z
_atom_site_occupancy
Al1 Al 0.0000 0.0000 0.0000 1
P1 P 0.0000 0.0000 0.5000 1
Ir1 Ir 0.5000 0.5000 0.5000 1

[3]
# RbInO2, single point on PBEsol structure, DFT meta-GGA SCAN
# M_tot: 0.0 μB/f.u.
# DFT total energy: -18.316 eV/atom
data_RbInO2
_chemical_formula_sum 'Rb4 In4 O8'
_symmetry_space_group_name_H-M 'I -4 2 d'
_symmetry_Int_Tables_number 122
_symmetry_space_group_name_Hall 'I -4 2bw'
_cell_length_a 6.1578
_cell_length_b 6.1578
_cell_length_c 8.0212
_cell_angle_alpha 90.00
_cell_angle_beta 90.00
_cell_angle_gamma 90.00
loop_
_atom_site_label
_atom_site_type_symbol
_atom_site_fract_x
_atom_site_fract_y
_atom_site_fract_z
_atom_site_occupancy
Rb1 Rb 0.0000 0.0000 0.0000 1
In1 In 0.0000 0.0000 0.5000 1
O1 O 0.1528 0.7500 0.6250 1

[4]
# CrCo2Bi, single point on PBEsol structure, DFT meta-GGA SCAN
# M_tot: 0.5 μB/f.u.
# E_form: 0.919 eV/atom
data_CrCo2Bi
_chemical_formula_sum 'Cr4 Co8 Bi4'
_symmetry_space_group_name_H-M 'I -4 2 d'
_symmetry_Int_Tables_number 122
_symmetry_space_group_name_Hall 'I -4 2bw'
_cell_length_a 4.2046
_cell_length_b 4.2046
_cell_length_c 14.8652
_cell_angle_alpha 90.00
_cell_angle_beta 90.00
_cell_angle_gamma 90.00
loop_
_atom_site_label
_atom_site_type_symbol
_atom_site_fract_x
_atom_site_fract_y
_atom_site_fract_z
_atom_site_occupancy
Cr1 Cr 0.0000 0.0000 0.0000 1
Co1 Co 0.1399 0.2500 0.1250 1
Bi1 Bi 0.0000 0.0000 0.5000 1

[5]
# ScHgO3, single point on PBEsol structure, DFT meta-GGA SCAN
# M_tot: 1.1 μB/f.u.
# DFT total energy: -21.712 eV/atom
data_ScHgO3
_chemical_formula_sum 'Sc1 Hg1 O3'
_symmetry_space_group_name_H-M 'P m -3 m'
_symmetry_Int_Tables_number 221
_symmetry_space_group_name_Hall '-P 4 2 3'
_cell_length_a 4.0575
_cell_length_b 4.0575
_cell_length_c 4.0575
_cell_angle_alpha 90.00
_cell_angle_beta 90.00
_cell_angle_gamma 90.00
loop_
_atom_site_label
_atom_site_type_symbol
_atom_site_fract_x
_atom_site_fract_y
_atom_site_fract_z
_atom_site_occupancy
Sc1 Sc 0.0000 0.0000 0.0000 1
Hg1 Hg 0.5000 0.5000 0.5000 1
O1 O 0.0000 0.0000 0.5000 1

[6]
# AgPb2Br5, single point on PBEsol structure, DFT meta-GGA SCAN
# M_tot: 0.0 μB/f.u.
# DFT total energy: -35.829 eV/atom
data_AgPb2Br5
_chemical_formula_sum 'Ag4 Pb8 Br20'
_symmetry_space_group_name_H-M 'C 1 2/c 1'
_symmetry_Int_Tables_number 15
_cell_length_a 16.2955
_cell_length_b 7.0256
_cell_length_c 7.8996
_cell_angle_alpha 90.00
_cell_angle_beta 96.07
_cell_angle_gamma 90.00
loop_
_symmetry_equiv_pos_as_xyz
'x,y,z'
'-x,-y,-z'
'-x,y,-z+1/2'
'x,-y,z+1/2'
'x+1/2,y+1/2,z'
'-x+1/2,-y+1/2,-z'
'-x+1/2,y+1/2,-z+1/2'
'x+1/2,-y+1/2,z+1/2'
loop_
_atom_site_label
_atom_site_type_symbol
_atom_site_fract_x
_atom_site_fract_y
_atom_site_fract_z
_atom_site_occupancy
Ag1 Ag 0.2500 0.2500 0.0000 1
Pb1 Pb 0.1035 0.2314 0.5692 1
Br1 Br 0.0000 0.0727 0.2500 1
Br2 Br 0.0865 0.3773 0.9264 1
Br3 Br 0.2221 0.0825 0.3179 1

[7]
# MnAlOs2, single point on PBEsol structure, DFT meta-GGA SCAN
# M_tot: 3.1 μB/f.u.
# E_form: -0.130 eV/atom
data_MnAlOs2
_chemical_formula_sum 'Mn2 Al2 Os4'
_symmetry_space_group_name_H-M 'I m m m'
_symmetry_Int_Tables_number 71
_symmetry_space_group_name_Hall '-I 2 2'
_cell_length_a 2.8776
_cell_length_b 4.3783
_cell_length_c 8.3145
_cell_angle_alpha 90.00
_cell_angle_beta 90.00
_cell_angle_gamma 90.00
loop_
_atom_site_label
_atom_site_type_symbol
_atom_site_fract_x
_atom_site_fract_y
_atom_site_fract_z
_atom_site_occupancy
Mn1 Mn 0.0000 0.0000 0.0000 1
Al1 Al 0.0000 0.0000 0.5000 1
Os1 Os 0.0000 0.5000 0.2460 1

[8]
# AlOs, single point on PBEsol structure, DFT meta-GGA SCAN
# M_tot: 0.0 μB/f.u.
# E_form: -0.504 eV/atom
data_AlOs
_chemical_formula_sum 'Al4 Os4'
_symmetry_space_group_name_H-M 'C 1 2/m 1'
_symmetry_Int_Tables_number 12
_cell_length_a 9.3529
_cell_length_b 2.8453
_cell_length_c 4.4193
_cell_angle_alpha 90.00
_cell_angle_beta 109.44
_cell_angle_gamma 90.00
loop_
_symmetry_equiv_pos_as_xyz
'x,y,z'
'-x,-y,-z'
'-x,y,-z'
'x,-y,z'
'x+1/2,y+1/2,z'
'-x+1/2,-y+1/2,-z'
'-x+1/2,y+1/2,-z'
'x+1/2,-y+1/2,z'
loop_
_atom_site_label
_atom_site_type_symbol
_atom_site_fract_x
_atom_site_fract_y
_atom_site_fract_z
_atom_site_occupancy
Al1 Al 0.1130 0.0000 0.3086 1
Os1 Os 0.1346 0.5000 0.8114 1

[9]
# Ba3CaZn, single point on PBEsol structure, DFT meta-GGA SCAN
# M_tot: 1.5 μB/f.u.
# E_form: 0.770 eV/atom
data_Ba3CaZn
_chemical_formula_sum 'Ba3 Ca1 Zn1'
_symmetry_space_group_name_H-M 'P m -3 m'
_symmetry_Int_Tables_number 221
_symmetry_space_group_name_Hall '-P 4 2 3'
_cell_length_a 6.5324
_cell_length_b 6.5324
_cell_length_c 6.5324
_cell_angle_alpha 90.00
_cell_angle_beta 90.00
_cell_angle_gamma 90.00
loop_
_atom_site_label
_atom_site_type_symbol
_atom_site_fract_x
_atom_site_fract_y
_atom_site_fract_z
_atom_site_occupancy
Ba1 Ba 0.0000 0.0000 0.5000 1
Ca1 Ca 0.0000 0.0000 0.0000 1
Zn1 Zn 0.5000 0.5000 0.5000 1

[10]
# MgTaRh3, single point on PBEsol structure, DFT meta-GGA SCAN
# M_tot: 0.0 μB/f.u.
# E_form: 0.526 eV/atom
# offset from the most stable computed form: 0 meV per atom
data_MgTaRh3
_chemical_formula_sum 'Mg1 Ta1 Rh3'
_symmetry_space_group_name_H-M 'P m -3 m'
_symmetry_Int_Tables_number 221
_symmetry_space_group_name_Hall '-P 4 2 3'
_cell_length_a 4.6688
_cell_length_b 4.6688
_cell_length_c 4.6688
_cell_angle_alpha 90.00
_cell_angle_beta 90.00
_cell_angle_gamma 90.00
loop_
_atom_site_label
_atom_site_type_symbol
_atom_site_fract_x
_atom_site_fract_y
_atom_site_fract_z
_atom_site_occupancy
Mg1 Mg 0.0000 0.0000 0.0000 1
Ta1 Ta 0.5000 0.5000 0.5000 1
Rh1 Rh 0.0000 0.5000 0.5000 1